Compound: CaPm8Pr4
Source: the Alexandria database
Functional: PBE
Structure: optimized geometry

Structure (POSCAR):
```
CaPm8Pr4
1.0
-0.541 9.947 -5.405
-5.402 -9.033 -4.202
-1.600 -2.503 7.437
Pm Pr Ca
8 4 1
Direct
0.475 0.238 0.713
0.001 0.762 0.764
0.475 0.238 0.237
0.999 0.238 0.236
0.525 0.762 0.763
0.999 0.761 0.236
0.525 0.762 0.287
0.001 0.239 0.764
0.500 0.000 0.000
0.000 0.000 0.000
0.500 0.500 0.000
0.000 0.500 0.000
0.000 0.500 0.500
```

Output
- Energy of formation: 0.50 eV/atom
- Magnetic moment: 1.158 μB per formula unit
- Crystal system: trigonal